Below is an optimized crystal structure of NbGaCo3, with properties calculated at the PBE level.

Cell and atoms, written as POSCAR:
```
NbGaCo3
1.0
-3.3595 1.0219 2.3834
-2.3239 -2.9173 -2.0248
1.1508 -2.9079 2.8689
Nb Co Ga
1 3 1
direct
0.5000 0.5000 0.5000 Nb
0.5000 0.0000 0.0000 Co
0.0000 0.0000 0.5000 Co
0.0000 0.5000 0.0000 Co
0.0000 0.0000 0.0000 Ga
```

Summary:
The calculation puts the total magnetic moment at 3.27 Bohr magnetons per cell. Its calculated formation energy is 84 kJ/mol of atoms. As for the total energy: -6.012 eV per atom.